Here is TaCoSb2I after structural relaxation from Alexandria. Energies are from GGA-PBEsol.

The space group is P4/mmm (No. 123) and the conventional cell measures 5.317, 5.317 and 5.354 Å, with angles of 90.00, 90.00 and 90.00 degrees. The distinct sites, in fractional coordinates, are Ta at (0.000, 0.000, 0.000), Co at (0.500, 0.500, 0.500), Sb at (0.000, 0.500, 0.000) and I at (0.000, 0.000, 0.500).

Its final energy is -25.27 eV for the cell shown. For the total magnetization, the calculation gives 2.56 μB/f.u.